Record 1
# Na2Gd2MgSi4O12F2

An optimized crystal structure of Na2Gd2MgSi4O12F2 (PBE, OQMD via LeMat-Bulk).

Cell: 5.1233 7.4438 14.3020 Å, 90.00 90.22 90.00°
Space group P2_1/c (No. 14)
One atom of each set of equivalent atoms:
Na: 0.0024 0.0398 0.2120 x4
Gd: 0.0120 0.2297 0.4563 x4
Mg: 0.5000 0.0000 0.0000 x2
Si: 0.4643 0.6281 0.8865 x4
Si: 0.4753 0.7420 0.1868 x4
O: 0.2111 0.2424 0.3121 x4
O: 0.2125 0.5536 0.9432 x4
O: 0.3339 0.6208 0.6149 x4
O: 0.3479 0.7275 0.7912 x4
O: 0.3520 0.5417 0.1529 x4
O: 0.3581 0.2365 0.0525 x4
F: 0.1610 0.5416 0.4379 x4

Its calculated volume is 11.86 A^3/atom. For the total DFT energy (no corrections), the calculation gives -335.1 eV per cell.

Record 2
# GdYNF2

An optimized crystal structure of GdYNF2 (PBE, OQMD via LeMat-Bulk).

Cell: 3.4898 3.4898 6.7780 Å, 90.00 90.00 120.00°
Space group P3m1 (No. 156)
One atom of each set of equivalent atoms:
Gd: 0.0000 0.0000 0.0000 x1
Y: 0.3333 0.6667 0.3953 x1
N: 0.6667 0.3333 0.2018 x1
F: 0.0000 0.0000 0.5724 x1
F: 0.3333 0.6667 0.8171 x1

Its calculated volume is 14.30 A^3/atom. For the total DFT energy (no corrections), the calculation gives -37.2 eV per cell.

Record 3
# Na5Gd4Si4O16F

An optimized crystal structure of Na5Gd4Si4O16F (PBE, OQMD via LeMat-Bulk).

Cell: 11.6218 11.6218 5.4124 Å, 90.00 90.00 90.00°
Space group I-4 (No. 82)
One atom of each set of equivalent atoms:
Na: 0.0000 0.0000 0.0000 x2
Na: 0.0889 0.3961 0.5074 x8
Gd: 0.1161 0.8174 0.5234 x8
Si: 0.1031 0.2477 0.0095 x8
O: 0.0331 0.2076 0.2571 x8
O: 0.0477 0.1860 0.7666 x8
O: 0.1081 0.3881 0.9831 x8
O: 0.2024 0.7642 0.9387 x8
F: 0.0000 0.0000 0.5000 x2

Its calculated volume is 12.18 A^3/atom. For the total DFT energy (no corrections), the calculation gives -431.7 eV per cell.